1.
# RbTl2InHg4

A relaxed RbTl2InHg4 crystal (GGA-PBE, Alexandria via LeMat-Bulk).

Output
DOS(E_F)	3.494	states/eV/cell
total magnetization	0.0	μB/cell
DFT total energy	-10.39	eV per cell
formation energy from the elements	-0.09	eV per atom

Cell lengths 5.170, 5.170, 11.673 Å; angles 77.21, 77.21, 60.00 degrees
Positions (direct):
Tl: 0.237 0.237 0.290
Tl: 0.763 0.763 0.710
Hg: 0.868 0.868 0.397
Hg: 0.132 0.132 0.603
Hg: 0.396 0.396 0.811
Hg: 0.604 0.604 0.189
Rb: 0.000 0.000 0.000
In: 0.500 0.500 0.500

***

2.
# Ce4Sn6O19

A relaxed Ce4Sn6O19 crystal (GGA-PBE, Alexandria via LeMat-Bulk).

Output
DOS(E_F)	14.015	states/eV/cell
total magnetization	2.1	μB/cell
DFT total energy	-205.81	eV per cell
formation energy (no corrections)	-2.20	eV per atom

Cell lengths 8.148, 8.148, 8.148 Å; angles 109.47, 109.47, 109.47 degrees
Last column: magnetic moment on the atom in μB.
Positions (direct):
O: 0.348 0.348 0.000  -0.01
O: 0.033 0.276 0.675  -0.01
O: 0.399 0.724 0.757  -0.01
O: 0.642 0.243 0.967  -0.01
O: 0.757 0.399 0.724  -0.01
O: 0.000 0.652 0.652  -0.01
O: 0.967 0.642 0.243  -0.01
O: 0.276 0.675 0.033  -0.01
O: 0.675 0.033 0.276  -0.01
O: 0.358 0.325 0.601  -0.01
O: 0.601 0.358 0.325  -0.01
O: 0.000 0.000 0.000  -0.02
O: 0.724 0.757 0.399  -0.01
O: 0.348 0.000 0.348  -0.01
O: 0.000 0.348 0.348  -0.01
O: 0.652 0.000 0.652  -0.01
O: 0.325 0.601 0.358  -0.01
O: 0.243 0.967 0.642  -0.01
O: 0.652 0.652 0.000  -0.01
Ce: 0.000 0.701 0.000  0.53
Ce: 0.299 0.299 0.299  0.53
Ce: 0.000 0.000 0.701  0.53
Ce: 0.701 0.000 0.000  0.53
Sn: 0.500 0.833 0.333  0.00
Sn: 0.833 0.333 0.500  0.00
Sn: 0.667 0.500 0.167  0.00
Sn: 0.333 0.500 0.833  0.00
Sn: 0.500 0.167 0.667  0.00
Sn: 0.167 0.667 0.500  0.00

***

3.
# La5Cd4Sn

A relaxed La5Cd4Sn crystal (GGA-PBE, Alexandria via LeMat-Bulk).

Output
DOS(E_F)	11.856	states/eV/cell
total magnetization	0.2	μB/cell
DFT total energy	-36.40	eV per cell
formation energy from the elements	-0.41	eV per atom

Cell lengths 3.899, 3.899, 20.100 Å; angles 90.00, 90.00, 90.00 degrees
Last column: magnetic moment on the atom in μB.
Positions (direct):
Sn: 0.000 0.000 0.000  0.00
Cd: 0.000 0.000 0.600  0.00
Cd: 0.000 0.000 0.204  0.00
Cd: 0.000 0.000 0.400  0.00
Cd: 0.000 0.000 0.796  0.00
La: 0.500 0.500 0.899  0.00
La: 0.500 0.500 0.500  -0.07
La: 0.500 0.500 0.301  0.08
La: 0.500 0.500 0.101  0.00
La: 0.500 0.500 0.699  0.08

***

4.
# TaCrSb2

A relaxed TaCrSb2 crystal (GGA-PBE, Alexandria via LeMat-Bulk).

Output
DOS(E_F)	17.732	states/eV/cell
total magnetization	0.0	μB/cell
DFT total energy	-28.02	eV per cell
formation energy (no corrections)	0.43	eV per atom

Cell lengths 4.720, 4.720, 4.720 Å; angles 60.00, 60.00, 60.00 degrees
Positions (direct):
Sb: 0.750 0.750 0.750
Sb: 0.250 0.250 0.250
Ta: 0.500 0.500 0.500
Cr: 0.000 0.000 0.000